Entry from Alexandria: an optimized crystal structure of Er2PaOs (PBE-GGA).

a b c (Å): 10.8675 10.8675 10.8675
angles (deg): 17.01 17.01 17.01
Fractional positions:
Er 0.1007 0.1007 0.1007
Er 0.8993 0.8993 0.8993
Pa 0.0000 0.0000 0.0000
Os 0.5000 0.5000 0.5000

Output
Uncorrected energy   -7.1693 eV/atom
Calculated density   13.093 Mg/m³
Space-group type   R-3m (166)
Spin magnetization   0.00 μB/cell
Formation energy from the elements   294 meV per atom